Crystalline AcTb2Nd5Dy at its relaxed geometry. Source: Alexandria via LeMat-Bulk, functional GGA-PBE. Values from VASP.

Calculated values
Fermi-level density of states   11.386 states/eV/f.u.
Symmetry   Cmc2_1 (36)
DFT formation energy   1.27 eV per formula unit

```
&SYSTEM
  ibrav = 0, nat = 18, ntyp = 4
/
ATOMIC_SPECIES
Ac 227.00 Ac.upf
Tb 158.93 Tb.upf
Nd 144.24 Nd.upf
Dy 162.50 Dy.upf
ATOMIC_POSITIONS angstrom
Ac 2.799 9.760 4.756
Ac 2.799 -9.760 0.000
Tb 2.799 4.245 7.144
Tb 2.799 2.753 3.366
Tb 2.799 -2.753 8.121
Tb 2.799 -4.245 2.388
Nd 2.799 11.673 7.854
Nd 2.799 9.666 0.986
Nd 2.799 7.590 7.566
Nd 2.799 6.338 4.142
Nd 2.799 0.232 5.763
Nd 2.799 -0.232 1.007
Nd 2.799 -6.338 8.898
Nd 2.799 -7.590 2.810
Nd 2.799 -9.666 5.741
Nd 2.799 -11.673 3.098
Dy 2.799 5.836 1.035
Dy 2.799 -5.836 5.791
CELL_PARAMETERS angstrom
2.799 -12.265 0.000
2.799 12.265 0.000
0.000 0.000 9.511
```